The following is a GGA-PBE calculation of Cs3SrN after structural relaxation, from Alexandria via LeMat-Bulk.

Properties
crystal system = cubic
E_form (uncorrected) = 678 meV/atom
space group = Pm-3m
raw total energy = -9.2 eV per cell

```
Cs3SrN
1.0
-0.861 6.379 0.797
-6.423 -0.888 0.166
0.272 -0.767 6.435
Cs Sr N
3 1 1
Cartesian
-3.212 -0.444 0.083 Cs
-0.431 3.190 0.399 Cs
0.136 -0.384 3.218 Cs
-3.506 2.362 3.699 Sr
0.000 0.000 0.000 N
```

The following is a GGA-PBE calculation of CsSrN after structural relaxation, from Alexandria via LeMat-Bulk.

Properties
crystal system = orthorhombic
E_form (uncorrected) = 333 meV/atom
space group = Pnma
raw total energy = -39.5 eV per cell

```
CsSrN
1.0
-2.301 5.356 -4.963
-6.366 1.907 5.009
4.471 5.312 3.660
Cs N Sr
4 4 4
Cartesian
-2.519 3.394 -1.037 Cs
-2.331 4.360 5.747 Cs
-1.677 9.181 4.743 Cs
-1.865 8.215 -2.041 Cs
-1.001 6.953 6.451 N
-3.583 7.929 2.797 N
-3.196 5.622 -2.745 N
-0.613 4.646 0.909 N
-3.183 0.953 2.505 Sr
0.000 0.000 0.000 Sr
-2.098 6.288 1.853 Sr
1.085 5.334 -0.651 Sr
```